Entry 1:
Here is a relaxed structure of Mg2Si from the Alexandria database. Energies are from PBE.

abc: 5.9023 6.6784 7.0016
angles: 106.66 105.40 101.96
Closest atoms and distances in Å follow each position.
Sites, in units of the cell vectors:
1 Mg 0.6647 0.7422 0.0278  3 Si 2.74-2.81
2 Mg 0.6674 0.3448 0.1862  3 Si 2.75-2.93, 1 Mg 3.08
3 Mg 0.1573 0.2136 0.2312  3 Si 2.67-2.70
4 Mg 0.4650 0.2630 0.6712  3 Si 2.75-3.03, 1 Mg 3.02
5 Mg 0.5515 0.6795 0.5230  4 Si 2.76-3.05, 2 Mg 3.01-3.08
6 Mg 0.8662 0.0916 0.5145  4 Si 2.69-2.73
7 Mg 0.0953 0.4923 0.9572  4 Si 2.79-3.03, 1 Mg 3.04
8 Mg 0.2059 0.9224 0.8335  4 Si 2.73-2.97, 1 Mg 3.03
9 Si 0.0606 0.7661 0.3702  2 Si 2.44-2.53, 1 Mg 2.73
10 Si 0.1047 0.5023 0.5639  1 Si 2.53, 5 Mg 2.69-2.79
11 Si 0.3895 0.9139 0.2524  1 Si 2.44, 2 Mg 2.67-2.71
12 Si 0.7723 0.0689 0.8688  8 Mg 2.68-2.97

Values from the calculation:
The space group is No. 1. Its uncorrected formation energy is -0.005 eV per formula unit.


Entry 2:
Here is a relaxed structure of TiBiSbO6 from the Alexandria database. Energies are from PBE.

abc: 5.2872 5.2872 10.0035
angles: 90.00 90.00 120.00
Closest atoms and distances in Å follow each position.
Sites, in units of the cell vectors:
1 Ti 0.3333 0.6667 0.2500  6 O 1.99
2 Ti 0.6667 0.3333 0.7500  6 O 1.99
3 Bi 0.0000 0.0000 0.0000  6 O 2.41
4 Bi 0.0000 0.0000 0.5000  6 O 2.41
5 Sb 0.6667 0.3333 0.2500  6 O 2.01
6 Sb 0.3333 0.6667 0.7500  6 O 2.01
7 O 0.6286 0.6321 0.1410  1 Ti 1.99, 1 Sb 2.01
8 O 0.0034 0.3714 0.1410  1 Ti 1.99, 1 Sb 2.01
9 O 0.3714 0.0034 0.6410  1 Ti 1.99, 1 Sb 2.01
10 O 0.9966 0.6286 0.8590  1 Ti 1.99, 1 Sb 2.01
11 O 0.3679 0.3714 0.3590  1 Ti 1.99, 1 Sb 2.01
12 O 0.0034 0.6321 0.3590  1 Ti 1.99, 1 Sb 2.01
13 O 0.6321 0.0034 0.8590  1 Ti 1.99, 1 Sb 2.01
14 O 0.6286 0.9966 0.3590  1 Ti 1.99, 1 Sb 2.01
15 O 0.9966 0.3679 0.6410  1 Ti 1.99, 1 Sb 2.01
16 O 0.3679 0.9966 0.1410  1 Ti 1.99, 1 Sb 2.01
17 O 0.6321 0.6286 0.6410  1 Ti 1.99, 1 Sb 2.01
18 O 0.3714 0.3679 0.8590  1 Ti 1.99, 1 Sb 2.01

Values from the calculation:
The space group is No. 163. Its uncorrected formation energy is -17.359 eV per formula unit.


Entry 3:
Here is a relaxed structure of La2AlAgS5 from the Alexandria database. Energies are from PBE.

abc: 3.9684 8.9880 11.4470
angles: 90.00 90.00 102.75
Closest atoms and distances in Å follow each position.
Sites, in units of the cell vectors:
1 La 0.8735 0.7470 0.8008  6 S 2.82-3.03
2 La 0.1218 0.2436 0.6836  8 S 2.92-3.24
3 La 0.1265 0.2530 0.3008  6 S 2.82-3.03
4 La 0.8782 0.7564 0.1836  8 S 2.92-3.24
5 Al 0.5677 0.1355 0.9516  4 S 2.26-2.34
6 Al 0.4323 0.8645 0.4516  4 S 2.26-2.34
7 Ag 0.7731 0.5462 0.5246  3 S 2.52-2.66
8 Ag 0.2269 0.4538 0.0246  3 S 2.52-2.66
9 S 0.3692 0.7385 0.9973  1 Ag 2.52
10 S 0.6817 0.3635 0.8594  1 Al 2.26
11 S 0.5034 0.0068 0.7782  1 Al 2.28
12 S 0.2930 0.5860 0.6768  2 Ag 2.66, 2 La 2.82
13 S 0.9586 0.9173 0.5517  2 Al 2.34
14 S 0.6308 0.2615 0.4973  1 Ag 2.52
15 S 0.3183 0.6365 0.3594  1 Al 2.26
16 S 0.4966 0.9932 0.2782  1 Al 2.28
17 S 0.7070 0.4140 0.1768  2 Ag 2.66, 2 La 2.82
18 S 0.0414 0.0827 0.0517  2 Al 2.34

Values from the calculation:
The space group is No. 36. Its uncorrected formation energy is -13.622 eV per formula unit.


Entry 4:
Here is a relaxed structure of Y4OsBr5 from the Alexandria database. Energies are from PBE.

abc: 4.0197 8.6936 9.4591
angles: 103.42 102.27 90.00
Closest atoms and distances in Å follow each position.
Sites, in units of the cell vectors:
1 Y 0.3535 0.9213 0.7071  1 Os 2.63, 2 Br 2.92
2 Y 0.9971 0.7794 0.9942  2 Os 2.77, 1 Br 3.02
3 Y 0.6464 0.0787 0.2929  1 Os 2.63, 2 Br 2.92
4 Y 0.0029 0.2206 0.0058  2 Os 2.77, 1 Br 3.02
5 Os 0.5000 0.0000 0.0000  6 Y 2.63-2.77
6 Br 0.8295 0.6704 0.6590  3 Y 2.92-3.02
7 Br 0.8244 0.1524 0.6488  4 Y 2.98-3.21
8 Br 0.1756 0.8476 0.3512  4 Y 2.98-3.21
9 Br 0.5000 0.5000 0.0000  4 Y 3.16
10 Br 0.1705 0.3296 0.3410  3 Y 2.92-3.02

Values from the calculation:
The space group is No. 12. Its uncorrected formation energy is -13.197 eV per formula unit.


Entry 5:
Here is a relaxed structure of ScMo from the Alexandria database. Energies are from PBE.

abc: 4.3109 4.3109 4.3109
angles: 60.00 60.00 60.00
Closest atoms and distances in Å follow each position.
Sites, in units of the cell vectors:
1 Mo 0.0000 0.0000 0.0000  4 Sc 2.64
2 Sc 0.2500 0.2500 0.2500  4 Mo 2.64

Values from the calculation:
The value obtained for the formation enthalpy at 0 K is 2.41 eV per atom. The space group is No. 216.


Entry 6:
Here is a relaxed structure of CdFe2Au from the Alexandria database. Energies are from PBE.

abc: 4.8760 4.8760 4.8760
angles: 132.12 132.09 70.07
Closest atoms and distances in Å follow each position.
Sites, in units of the cell vectors:
1 Au 0.7500 0.2500 0.5000  4 Cd 2.80, 8 Fe 2.81
2 Cd 0.2500 0.7500 0.5000  4 Au 2.80, 8 Fe 2.81
3 Fe 0.0000 0.0000 0.0000  4 Fe 2.80, 4 Cd 2.81, 4 Au 2.81
4 Fe 0.5000 0.5000 0.0000  4 Fe 2.80, 4 Cd 2.81, 4 Au 2.81

Values from the calculation:
The value obtained for the formation enthalpy at 0 K is 0.24 eV per atom. The space group is No. 139.